This record from Alexandria via LeMat-Bulk describes a relaxed Sm6ZnRu2 crystal. The functional is PBE.

Properties
Polymorph energy (0 for the lowest one) (meV/atom): 82
Fermi-level density of states (states/eV/cell): 9.06
Magnetic moment (μB/f.u.): 0.00

a = 5.6720 Å, b = 5.6720 Å, c = 9.0800 Å
α = 98.99°, β = 98.99°, γ = 54.63°
Positions (direct):
Sm: 0.0415 0.0415 0.3376
Sm: 0.2864 0.2864 0.6645
Sm: 0.3453 0.3453 0.1060
Sm: 0.6547 0.6547 0.8940
Sm: 0.7136 0.7136 0.3355
Sm: 0.9585 0.9585 0.6624
Zn: 0.0000 0.0000 0.0000
Ru: 0.3890 0.3890 0.3988
Ru: 0.6110 0.6110 0.6012